Material: Ta2Nb4Tl3C3
Method: DFT, PBE-GGA
State: optimized geometry

Unit cell a=5.595 b=5.595 c=14.856 alpha=100.88 beta=100.88 gamma=60.00
Fractional coordinates of all 24 atoms:
Ta 0.026 0.857 0.579
Ta 0.143 0.974 0.921
Ta 0.857 0.026 0.079
Ta 0.974 0.143 0.421
Nb 0.193 0.364 0.081
Nb 0.309 0.469 0.419
Nb 0.364 0.193 0.581
Nb 0.469 0.309 0.919
Nb 0.531 0.691 0.081
Nb 0.636 0.807 0.419
Nb 0.691 0.531 0.581
Nb 0.807 0.636 0.919
Tl 0.083 0.248 0.749
Tl 0.248 0.083 0.249
Tl 0.416 0.584 0.750
Tl 0.584 0.416 0.250
Tl 0.752 0.917 0.751
Tl 0.917 0.752 0.251
C 0.000 0.500 0.500
C 0.164 0.674 0.000
C 0.326 0.836 0.500
C 0.500 0.000 0.000
C 0.674 0.164 0.500
C 0.836 0.326 0.000

Computed properties:
total energy = -204.022 eV per cell